No. 1
Below is a relaxed AcGdBiBr crystal, with properties calculated at the PBE-GGA level.

The space group is F-43m (No. 216) and the conventional cell measures 7.939, 7.939 and 7.939 Å, with angles of 90.00, 90.00 and 90.00 degrees. The asymmetric unit holds Ac at (0.000, 0.000, 0.000), Gd at (0.000, 0.000, 0.500), Bi at (0.250, 0.250, 0.750) and Br at (0.250, 0.250, 0.250).

As for the crystal system: cubic. The calculation puts the density of states at the Fermi level at 6.49 states/eV/f.u.



No. 2
Below is a relaxed Ac6Ge2BiBr3 crystal, with properties calculated at the PBE-GGA level.

The space group is C2/m (No. 12) and the conventional cell measures 20.071, 4.684 and 9.218 Å, with angles of 90.00, 100.28 and 90.00 degrees. The asymmetric unit holds Ac at (0.013, 0.000, 0.262), Ac at (0.171, 0.500, 0.114), Ac at (0.173, 0.500, 0.568), Ge at (0.169, 0.000, 0.336), Bi at (0.000, 0.500, 0.000), Br at (0.000, 0.500, 0.500) and Br at (0.161, 0.000, 0.833).

As for the crystal system: monoclinic. The calculation puts the density of states at the Fermi level at 5.45 states/eV/f.u.



No. 3
Below is a relaxed AcInBiBr crystal, with properties calculated at the PBE-GGA level.

The space group is F-43m (No. 216) and the conventional cell measures 8.091, 8.091 and 8.091 Å, with angles of 90.00, 90.00 and 90.00 degrees. The asymmetric unit holds Ac at (0.000, 0.000, 0.000), In at (0.000, 0.000, 0.500), Bi at (0.250, 0.250, 0.750) and Br at (0.250, 0.250, 0.250).

As for the crystal system: cubic. The calculation puts the density of states at the Fermi level at 1.33 states/eV/f.u.



No. 4
Below is a relaxed Ac4BiIrBr2 crystal, with properties calculated at the PBE-GGA level.

The space group is P2/m (No. 10) and the conventional cell measures 8.317, 4.465 and 8.497 Å, with angles of 90.00, 107.74 and 90.00 degrees. The asymmetric unit holds Ac at (0.199, 0.000, 0.203), Ac at (0.218, 0.500, 0.775), Bi at (0.000, 0.000, 0.500), Ir at (0.000, 0.500, 0.000), Br at (0.500, 0.000, 0.000) and Br at (0.500, 0.500, 0.500).

As for the crystal system: monoclinic. The calculation puts the density of states at the Fermi level at 4.69 states/eV/f.u.



No. 5
Below is a relaxed Ac3BiIrBr crystal, with properties calculated at the PBE-GGA level.

The space group is P2_1/m (No. 11) and the conventional cell measures 8.640, 4.570 and 11.223 Å, with angles of 90.00, 107.08 and 90.00 degrees. The asymmetric unit holds Ac at (0.046, 0.250, 0.367), Ac at (0.196, 0.250, 0.947), Ac at (0.419, 0.750, 0.630), Bi at (0.223, 0.750, 0.189), Ir at (0.196, 0.250, 0.635) and Br at (0.413, 0.750, 0.896).

As for the crystal system: monoclinic. The calculation puts the density of states at the Fermi level at 2.64 states/eV/f.u.



No. 6
Below is a relaxed KAcBiBr crystal, with properties calculated at the PBE-GGA level.

The space group is F-43m (No. 216) and the conventional cell measures 8.218, 8.218 and 8.218 Å, with angles of 90.00, 90.00 and 90.00 degrees. The asymmetric unit holds K at (0.000, 0.000, 0.000), Ac at (0.000, 0.000, 0.500), Bi at (0.250, 0.250, 0.250) and Br at (0.250, 0.250, 0.750).

As for the crystal system: cubic.



No. 7
Below is a relaxed Ac3BiBrN crystal, with properties calculated at the PBE-GGA level.

The space group is P2_1/m (No. 11) and the conventional cell measures 9.897, 4.416 and 10.059 Å, with angles of 90.00, 95.76 and 90.00 degrees. The asymmetric unit holds Ac at (0.091, 0.250, 0.362), Ac at (0.346, 0.250, 0.004), Ac at (0.403, 0.750, 0.665), Bi at (0.331, 0.750, 0.302), Br at (0.156, 0.250, 0.694) and N at (0.417, 0.750, 0.903).

As for the crystal system: monoclinic. The calculation puts the density of states at the Fermi level at 2.79 states/eV/f.u.



No. 8
Below is a relaxed NaAcBiBr crystal, with properties calculated at the PBE-GGA level.

The space group is F-43m (No. 216) and the conventional cell measures 7.996, 7.996 and 7.996 Å, with angles of 90.00, 90.00 and 90.00 degrees. The asymmetric unit holds Na at (0.000, 0.000, 0.000), Ac at (0.000, 0.000, 0.500), Bi at (0.250, 0.250, 0.250) and Br at (0.250, 0.250, 0.750).

As for the crystal system: cubic.



No. 9
Below is a relaxed AcNdBiBr crystal, with properties calculated at the PBE-GGA level.

The space group is F-43m (No. 216) and the conventional cell measures 7.956, 7.956 and 7.956 Å, with angles of 90.00, 90.00 and 90.00 degrees. The asymmetric unit holds Ac at (0.000, 0.000, 0.000), Nd at (0.000, 0.000, 0.500), Bi at (0.250, 0.250, 0.250) and Br at (0.250, 0.250, 0.750).

As for the crystal system: cubic. The calculation puts the density of states at the Fermi level at 3.23 states/eV/f.u.



No. 10
Below is a relaxed Ac2Bi2Br2O5 crystal, with properties calculated at the PBE-GGA level.

The space group is I4/mmm (No. 139) and the conventional cell measures 4.381, 4.381 and 27.518 Å, with angles of 90.00, 90.00 and 90.00 degrees. The asymmetric unit holds Ac at (0.000, 0.000, 0.158), Bi at (0.000, 0.000, 0.422), Br at (0.000, 0.000, 0.286), O at (0.000, 0.000, 0.500) and O at (0.000, 0.500, 0.114).

As for the crystal system: tetragonal. The calculation puts the density of states at the Fermi level at 0.00 states/eV/f.u.



No. 11
Below is a relaxed AcBi2BrO4 crystal, with properties calculated at the PBE-GGA level.

The space group is P4/mmm (No. 123) and the conventional cell measures 4.058, 4.058 and 9.610 Å, with angles of 90.00, 90.00 and 90.00 degrees. The asymmetric unit holds Ac at (0.000, 0.000, 0.000), Bi at (0.500, 0.500, 0.276), Br at (0.000, 0.000, 0.500) and O at (0.000, 0.500, 0.166).

As for the crystal system: tetragonal.



No. 12
Below is a relaxed Ac4Bi2PBr crystal, with properties calculated at the PBE-GGA level.

The space group is P2/m (No. 10) and the conventional cell measures 8.009, 4.699 and 8.176 Å, with angles of 90.00, 109.65 and 90.00 degrees. The asymmetric unit holds Ac at (0.228, 0.000, 0.228), Ac at (0.237, 0.500, 0.764), Bi at (0.500, 0.000, 0.000), Bi at (0.500, 0.500, 0.500), P at (0.000, 0.500, 0.000) and Br at (0.000, 0.000, 0.500).

As for the crystal system: monoclinic. The calculation puts the density of states at the Fermi level at 3.38 states/eV/f.u.



Result set for energy: -6.903, -4.695, -3.870, -5.165, -5.344, -3.730, -5.466, -3.785, -4.612, -6.102, -6.096, -5.086 eV per atom, one per record in the order listed.
Result set for formation energy (no corrections): -967, -1129, -770, -1100, -887, -1040, -1098, -1040, -1005, -2091, -1924, -1176 meV per atom, one per record in the order listed.